# 1
LuFeBMo after structural relaxation. Source: OQMD via LeMat-Bulk, functional PBE.

Electronic total energy ... -109.22 eV/cell

Lattice parameters (Å, degrees): 6.019 6.019 6.019 90.00 90.00 90.00
Space group F-43m (No. 216)
Unique sites:
Lu1 0.000 0.000 0.000 [4 per cell]
Fe1 0.250 0.250 0.750 [4 per cell]
B1 0.000 0.000 0.500 [4 per cell]
Mo1 0.250 0.250 0.250 [4 per cell]

***

# 2
LaHfSi after structural relaxation. Source: OQMD via LeMat-Bulk, functional PBE.

Electronic total energy ... -83.11 eV/cell

Lattice parameters (Å, degrees): 6.740 6.740 6.740 90.00 90.00 90.00
Space group F-43m (No. 216)
Unique sites:
La1 0.000 0.000 0.000 [4 per cell]
Hf1 0.000 0.000 0.500 [4 per cell]
Si1 0.250 0.250 0.750 [4 per cell]

***

| no. | magnetization (μB per formula unit) |
| --- | --- |
| 1 | 2.113 |
| 2 | 0.000 |